(1)
SrLiTl2O4: optimized geometry, GGA-PBE.

Unit cell a=3.5278 b=6.0260 c=11.5322 alpha=90.00 beta=90.00 gamma=107.02
Element x y z (fractional)
Sr 0.8943 0.7886 0.2500
O 0.4323 0.8647 0.7500
Tl 0.3681 0.7363 0.9467
O 0.0000 0.0000 0.5000
Tl 0.6319 0.2637 0.0533
O 0.5677 0.1353 0.2500
Li 0.1620 0.3240 0.2500
O 0.2755 0.5509 0.3766
O 0.0000 0.0000 0.0000
Tl 0.3681 0.7363 0.5533
O 0.7245 0.4491 0.8766
Sr 0.1057 0.2114 0.7500
O 0.2755 0.5509 0.1234
Li 0.8380 0.6760 0.7500
Tl 0.6319 0.2637 0.4467
O 0.7245 0.4491 0.6234

Properties
The calculation puts the density of states at the Fermi level at 0.19 states/eV per atom. The value obtained for the formation energy (no corrections) is -1.379 eV/atom. The value obtained for the total energy is -78.38 eV/cell. Its symmetry is No. 63.

---

(2)
HgS3N: optimized geometry, GGA-PBE.

Unit cell a=4.2679 b=4.2679 c=4.2679 alpha=90.00 beta=90.00 gamma=90.00
Last column: magnetic moment on the atom in μB.
Element x y z (fractional)
Hg 0.5000 0.5000 0.5000  0.00
N 0.0000 0.0000 0.0000  -0.01
S 0.5000 0.0000 0.0000  0.08
S 0.0000 0.5000 0.0000  0.03
S 0.0000 0.0000 0.5000  0.01

Properties
The calculation puts the density of states at the Fermi level at 0.65 states/eV per atom. The value obtained for the formation energy (no corrections) is 1.181 eV/atom. The value obtained for the total energy is -15.10 eV/cell. The energy relative to the lowest polymorph listed for this composition is 871.9 meV per atom. Its symmetry is No. 221.

---

(3)
PuBeH4: optimized geometry, GGA-PBE.

Unit cell a=3.9636 b=4.4841 c=6.1621 alpha=90.00 beta=90.00 gamma=90.00
Last column: magnetic moment on the atom in μB.
Element x y z (fractional)
H 0.6582 0.9881 0.5000  -0.01
Be 0.2878 0.0114 0.5000  0.03
H 0.2268 0.7011 0.5000  -0.01
H 0.7732 0.2011 0.0000  -0.01
Pu 0.7432 0.4814 0.5000  5.52
H 0.2119 0.2230 0.6739  -0.01
H 0.2119 0.2230 0.3261  -0.01
H 0.7881 0.7230 0.1739  -0.01
Pu 0.2568 0.9814 0.0000  5.52
Be 0.7122 0.5114 0.0000  0.03
H 0.3418 0.4881 0.0000  -0.01
H 0.7881 0.7230 0.8261  -0.01

Properties
The calculation puts the density of states at the Fermi level at 1.16 states/eV per atom. The value obtained for the total energy is -65.78 eV/cell. The energy relative to the lowest polymorph listed for this composition is 0.0 meV per atom. Its symmetry is No. 31.

---

(4)
BaNbCd2Br: optimized geometry, GGA-PBE.

Unit cell a=5.5761 b=6.6730 c=5.5761 alpha=90.00 beta=90.00 gamma=90.00
Last column: magnetic moment on the atom in μB.
Element x y z (fractional)
Ba 0.0000 0.5000 0.0000  0.17
Br 0.5000 0.5000 0.5000  0.04
Cd 0.0000 0.0000 0.5000  0.07
Nb 0.0000 0.0000 0.0000  2.74
Cd 0.5000 0.0000 0.0000  0.10

Properties
The calculation puts the density of states at the Fermi level at 0.78 states/eV per atom. The value obtained for the formation energy (no corrections) is 0.323 eV/atom. The value obtained for the total energy is -13.88 eV/cell. Its symmetry is No. 123.

---

(5)
Y2HoCu9: optimized geometry, GGA-PBE.

Unit cell a=5.1560 b=5.1560 c=8.8486 alpha=73.06 beta=73.06 gamma=60.00
Element x y z (fractional)
Cu 0.0820 0.5814 0.7552
Cu 0.5000 0.5000 0.5000
Cu 0.6676 0.6676 0.9972
Y 0.1408 0.1408 0.5775
Cu 0.5814 0.0820 0.7552
Cu 0.5814 0.5814 0.7552
Cu 0.4186 0.9180 0.2448
Ho 0.0000 0.0000 0.0000
Cu 0.9180 0.4186 0.2448
Cu 0.3324 0.3324 0.0028
Cu 0.4186 0.4186 0.2448
Y 0.8592 0.8592 0.4225

Properties
The calculation puts the density of states at the Fermi level at 0.67 states/eV per atom. The value obtained for the total energy is -56.71 eV/cell. Its symmetry is No. 166. The value obtained for the formation energy is -0.195 eV/atom.

---

(6)
BaSc2Si2: optimized geometry, GGA-PBE.

Unit cell a=4.6354 b=4.6354 c=6.8412 alpha=70.20 beta=70.20 gamma=90.00
Element x y z (fractional)
Ba 0.0000 0.0000 0.0000
Si 0.3780 0.3780 0.2439
Sc 0.2500 0.7500 0.5000
Si 0.6220 0.6220 0.7561
Sc 0.7500 0.2500 0.5000

Properties
The calculation puts the density of states at the Fermi level at 0.06 states/eV per atom. The value obtained for the formation energy (no corrections) is -0.498 eV/atom. The value obtained for the total energy is -27.92 eV/cell. The energy relative to the lowest polymorph listed for this composition is 0.0 meV per atom. Its symmetry is No. 139.

---

(7)
Dy3Y2Er: optimized geometry, GGA-PBE.

Unit cell a=7.1622 b=10.1476 c=7.1566 alpha=79.80 beta=120.01 gamma=121.97
Element x y z (fractional)
Er 0.7517 0.0009 0.7506
Dy 0.2480 0.9989 0.7494
Dy 0.1950 0.3332 0.6394
Dy 0.7520 0.0011 0.2506
Y 0.6944 0.3339 0.1389
Y 0.3061 0.6668 0.3612
Er 0.2483 0.9991 0.2494
Dy 0.8050 0.6668 0.3606
Y 0.6939 0.3332 0.6388
Y 0.3056 0.6661 0.8611
Dy 0.8052 0.6673 0.8607
Dy 0.1948 0.3327 0.1393

Properties
The calculation puts the density of states at the Fermi level at 1.33 states/eV per atom. The value obtained for the total energy is -62.57 eV/cell. The energy relative to the lowest polymorph listed for this composition is 0.0 meV per atom. Its symmetry is No. 2. The value obtained for the formation energy is 0.002 eV/atom.

---

(8)
CaAuCl2: optimized geometry, GGA-PBE.

Unit cell a=5.0638 b=5.0638 c=9.2645 alpha=74.14 beta=74.14 gamma=90.00
Element x y z (fractional)
Au 0.0000 0.0000 0.0000
Cl 0.3750 0.3851 0.7500
Cl 0.6149 0.1250 0.2500
Ca 0.2500 0.7500 0.5000
Cl 0.8750 0.8649 0.7500
Cl 0.1351 0.6250 0.2500
Au 0.7500 0.2500 0.5000
Ca 0.5000 0.5000 0.0000

Properties
The calculation puts the density of states at the Fermi level at 0.31 states/eV per atom. The value obtained for the formation energy (no corrections) is -1.021 eV/atom. The value obtained for the total energy is -26.11 eV/cell. The energy relative to the lowest polymorph listed for this composition is 205.7 meV per atom. Its symmetry is No. 122.

---

(9)
PbIO2: optimized geometry, GGA-PBE.

Unit cell a=6.3939 b=6.3939 c=6.4219 alpha=60.14 beta=60.14 gamma=90.00
Last column: magnetic moment on the atom in μB.
Element x y z (fractional)
Pb 0.0000 0.0000 0.0000  -0.01
O 0.0044 0.6250 0.2500  0.07
O 0.3750 0.2544 0.7500  0.07
I 0.2500 0.7500 0.5000  0.57
O 0.7456 0.1250 0.2500  0.07
Pb 0.7500 0.2500 0.5000  -0.01
O 0.8750 0.9956 0.7500  0.07
I 0.5000 0.5000 0.0000  0.58

Properties
The calculation puts the density of states at the Fermi level at 0.08 states/eV per atom. The value obtained for the formation energy (no corrections) is -0.181 eV/atom. The value obtained for the total energy is -31.80 eV/cell. The energy relative to the lowest polymorph listed for this composition is 352.7 meV per atom. Its symmetry is No. 122.

---

(10)
TaPdO2: optimized geometry, GGA-PBE.

Unit cell a=4.4406 b=4.4406 c=6.6043 alpha=70.36 beta=70.36 gamma=90.00
Element x y z (fractional)
Ta 0.0000 0.0000 0.0000
Ta 0.7500 0.2500 0.5000
Pd 0.2500 0.7500 0.5000
Pd 0.5000 0.5000 0.0000
O 0.8750 0.9744 0.7500
O 0.0256 0.6250 0.2500
O 0.7244 0.1250 0.2500
O 0.3750 0.2756 0.7500

Properties
The calculation puts the density of states at the Fermi level at 0.31 states/eV per atom. The value obtained for the formation energy (no corrections) is -1.329 eV/atom. The value obtained for the total energy is -64.55 eV/cell. The energy relative to the lowest polymorph listed for this composition is 149.0 meV per atom. Its symmetry is No. 122.

---

(11)
SmUTc3: optimized geometry, GGA-PBE.

Unit cell a=6.0412 b=6.0398 c=6.9880 alpha=89.99 beta=64.33 gamma=60.01
Element x y z (fractional)
Tc 0.4276 0.4895 0.4195
U 0.0502 0.9297 0.7344
Tc 0.4276 0.9925 0.4195
Tc 0.9988 0.2039 0.0596
Tc 0.9988 0.7070 0.0596
U 0.3761 0.2668 0.7447
Sm 0.8907 0.5094 0.4735
Sm 0.5357 0.6870 0.0056
Tc 0.5026 0.2036 0.0598
Tc 0.9238 0.9929 0.4193

Properties
The calculation puts the density of states at the Fermi level at 0.80 states/eV per atom. The value obtained for the total energy is -94.83 eV/cell. The energy relative to the lowest polymorph listed for this composition is 2.6 meV per atom. Its symmetry is No. 12. The value obtained for the formation energy is -0.062 eV/atom.

---

(12)
PuTlCuBr5: optimized geometry, GGA-PBE.

Unit cell a=7.8438 b=7.8438 c=10.6738 alpha=104.18 beta=104.18 gamma=106.37
Last column: magnetic moment on the atom in μB.
Element x y z (fractional)
Tl 0.3591 0.6409 0.2500  0.00
Br 0.2451 0.3870 0.5707  -0.03
Pu 0.0000 0.0000 0.0000  5.16
Br 0.3870 0.2451 0.0707  -0.03
Br 0.3226 0.9127 0.6222  -0.03
Br 0.9123 0.0877 0.7500  -0.04
Br 0.0873 0.6774 0.8778  -0.03
Br 0.7549 0.6130 0.4293  -0.03
Br 0.6774 0.0873 0.3778  -0.03
Br 0.0877 0.9123 0.2500  -0.04
Cu 0.6914 0.3086 0.2500  -0.08
Cu 0.3086 0.6914 0.7500  -0.08
Br 0.9127 0.3226 0.1222  -0.03
Tl 0.6409 0.3591 0.7500  0.00
Br 0.6130 0.7549 0.9293  -0.03
Pu 0.0000 0.0000 0.5000  5.16

Properties
The calculation puts the density of states at the Fermi level at 1.60 states/eV per atom. The value obtained for the formation energy (no corrections) is -1.028 eV/atom. The value obtained for the total energy is -74.77 eV/cell. Its symmetry is No. 15.